1.
Mn2TlPb after structural relaxation. Source: Alexandria, functional PBE-GGA.

The space group is C2/m (No. 12) and the conventional cell measures 6.5403, 8.0445 and 3.2169 Å, with angles of 90.00, 90.25 and 90.00 degrees. Symmetry generates all atoms from Mn at (0.2500, 0.2500, 0.0000), Tl at (0.0000, 0.0000, 0.5000) and Pb at (0.0000, 0.5000, 0.5000).

The calculation puts the spin magnetization at 15.5 μB/cell. For the raw total energy, the calculation gives -5.58 eV/atom. The crystal system is monoclinic.

---

2.
Fe2OsSe after structural relaxation. Source: Alexandria, functional PBE-GGA.

The space group is Cmmm (No. 65) and the conventional cell measures 2.9715, 4.6174 and 8.3740 Å, with angles of 90.00, 90.00 and 90.00 degrees. Symmetry generates all atoms from Fe at (0.0000, 0.0000, 0.2454), Os at (0.0000, 0.5000, 0.0000) and Se at (0.0000, 0.5000, 0.5000).

The calculation puts the spin magnetization at 11.5 μB/cell. The formation energy (no corrections) is 0.503 eV per atom. The crystal system is orthorhombic.

---

3.
ErTlSi2O6 after structural relaxation. Source: Alexandria, functional PBE-GGA.

The space group is C2/c (No. 15) and the conventional cell measures 10.3567, 9.9265 and 5.5069 Å, with angles of 90.00, 102.30 and 90.00 degrees. Symmetry generates all atoms from Er at (0.0000, 0.1166, 0.2500), Tl at (0.0000, 0.3150, 0.7500), Si at (0.2190, 0.4193, 0.2998), O at (0.1197, 0.0616, 0.6306), O at (0.1523, 0.2721, 0.2501) and O at (0.1646, 0.4920, 0.5357).

The calculation puts the spin magnetization at 0.0 μB/cell. The formation energy (no corrections) is -2.698 eV per atom. The crystal system is monoclinic.

---

4.
Th4PdSe2S after structural relaxation. Source: Alexandria, functional PBE-GGA.

The space group is P2/m (No. 10) and the conventional cell measures 7.2419, 4.1009 and 7.3935 Å, with angles of 90.00, 108.87 and 90.00 degrees. Symmetry generates all atoms from Th at (0.2381, 0.0000, 0.2366), Th at (0.2533, 0.5000, 0.7646), Pd at (0.5000, 0.0000, 0.0000), Se at (0.0000, 0.0000, 0.5000), Se at (0.5000, 0.5000, 0.5000) and S at (0.0000, 0.5000, 0.0000).

The calculation puts the spin magnetization at 0.0 μB/cell. The formation energy (no corrections) is -1.392 eV per atom. The crystal system is monoclinic.

---

5.
Ag2RuRh after structural relaxation. Source: Alexandria, functional PBE-GGA.

The space group is Cm (No. 8) and the conventional cell measures 9.1104, 2.7660 and 5.1079 Å, with angles of 90.00, 98.62 and 90.00 degrees. Symmetry generates all atoms from Ag at (0.0000, 0.0000, 0.0000), Ag at (0.2462, 0.0000, 0.7798), Ru at (0.2530, 0.5000, 0.3045) and Rh at (0.4928, 0.0000, 0.4749).

The calculation puts the spin magnetization at 0.7 μB/cell. For the polymorph energy (0 for the lowest one), the calculation gives 62 kJ/mol of formula units. The crystal system is monoclinic.

---

6.
BaTc3Ag after structural relaxation. Source: Alexandria, functional PBE-GGA.

The space group is Pm-3m (No. 221) and the conventional cell measures 5.1171, 5.1171 and 5.1171 Å, with angles of 90.00, 90.00 and 90.00 degrees. Symmetry generates all atoms from Ba at (0.0000, 0.0000, 0.0000), Tc at (0.0000, 0.5000, 0.5000) and Ag at (0.5000, 0.5000, 0.5000).

The calculation puts the spin magnetization at 9.5 μB/cell. For the polymorph energy (0 for the lowest one), the calculation gives 0 kJ/mol of formula units. The crystal system is cubic.

---

7.
ThMgGaPt3 after structural relaxation. Source: Alexandria, functional PBE-GGA.

The space group is Cmcm (No. 63) and the conventional cell measures 6.8738, 12.3407 and 5.7305 Å, with angles of 90.00, 90.00 and 90.00 degrees. Symmetry generates all atoms from Th at (0.0000, 0.1922, 0.2500), Mg at (0.0000, 0.4494, 0.2500), Ga at (0.0000, 0.1293, 0.7500), Pt at (0.0000, 0.3276, 0.7500) and Pt at (0.2038, 0.0000, 0.0000).

The calculation puts the spin magnetization at 0.0 μB/cell. For the raw total energy, the calculation gives -5.69 eV/atom. The crystal system is orthorhombic.

---

8.
CaB2H8 after structural relaxation. Source: Alexandria, functional PBE-GGA.

The space group is Pbca (No. 61) and the conventional cell measures 7.3118, 13.2047 and 8.6664 Å, with angles of 90.00, 90.00 and 90.00 degrees. Symmetry generates all atoms from Ca at (0.1869, 0.1148, 0.0684), B at (0.0413, 0.7187, 0.9416), B at (0.1440, 0.5137, 0.3109), H at (0.0060, 0.6401, 0.0114), H at (0.0129, 0.0332, 0.8635), H at (0.0533, 0.7119, 0.5360), H at (0.0791, 0.2309, 0.6549), H at (0.1002, 0.6027, 0.2897), H at (0.1813, 0.0278, 0.6891), H at (0.1874, 0.7120, 0.8719) and H at (0.2240, 0.0143, 0.3978).

The calculation puts the spin magnetization at 0.0 μB/cell. For the polymorph energy (0 for the lowest one), the calculation gives 13 kJ/mol of formula units. The crystal system is orthorhombic.

---

9.
NpZnGeAu after structural relaxation. Source: Alexandria, functional PBE-GGA.

The space group is F-43m (No. 216) and the conventional cell measures 6.8373, 6.8373 and 6.8373 Å, with angles of 90.00, 90.00 and 90.00 degrees. Symmetry generates all atoms from Np at (0.0000, 0.0000, 0.0000), Zn at (0.0000, 0.0000, 0.5000), Ge at (0.2500, 0.2500, 0.2500) and Au at (0.2500, 0.2500, 0.7500).

The calculation puts the spin magnetization at 15.8 μB/cell. For the raw total energy, the calculation gives -5.62 eV/atom. The crystal system is cubic.

---

10.
Co4P3 after structural relaxation. Source: Alexandria, functional PBE-GGA.

The space group is P6/mmm (No. 191) and the conventional cell measures 4.7169, 4.7169 and 4.3502 Å, with angles of 90.00, 90.00 and 120.00 degrees. Symmetry generates all atoms from Co at (0.0000, 0.0000, 0.2456), Co at (0.3333, 0.6667, 0.0000) and P at (0.0000, 0.5000, 0.5000).

The calculation puts the spin magnetization at 5.6 μB/cell. For the polymorph energy (0 for the lowest one), the calculation gives 464 kJ/mol of formula units. The crystal system is hexagonal.

---

11.
PmAl4OsPd2 after structural relaxation. Source: Alexandria, functional PBE-GGA.

The space group is R-3m (No. 166, hexagonal axes) and the conventional cell measures 4.2594, 4.2594 and 26.8947 Å, with angles of 90.00, 90.00 and 120.00 degrees. Symmetry generates all atoms from Pm at (0.0000, 0.0000, 0.0000), Al at (0.0000, 0.0000, 0.1358), Al at (0.0000, 0.0000, 0.4050), Os at (0.0000, 0.0000, 0.5000) and Pd at (0.0000, 0.0000, 0.2350).

The calculation puts the spin magnetization at 0.0 μB/cell. For the raw total energy, the calculation gives -5.83 eV/atom. The crystal system is trigonal.

---

12.
TmAl2S4 after structural relaxation. Source: Alexandria, functional PBE-GGA.

The space group is Fdd2 (No. 43) and the conventional cell measures 12.1203, 13.5316 and 7.6422 Å, with angles of 90.00, 90.00 and 90.00 degrees. Symmetry generates all atoms from Tm at (0.0000, 0.0000, 0.0000), Al at (0.0618, 0.1647, 0.5143), S at (0.1239, 0.3293, 0.5164) and S at (0.1240, 0.3399, 0.0094).

The calculation puts the spin magnetization at 0.0 μB/cell. The formation energy (no corrections) is -1.219 eV per atom. For the polymorph energy (0 for the lowest one), the calculation gives 0 kJ/mol of formula units. The crystal system is orthorhombic.

---

> Number 10 is which compound?

Co4P3

---

> What is the formula in the fourth record?

Th4PdSe2S

---

> What is the spin magnetization in the sixth record?

9.5 μB/cell